Entry 1:
Here is a relaxed PrTlTc crystal from OQMD via LeMat-Bulk. Energies are from PBE-GGA.

The value obtained for the total energy is -4.74 eV/atom. Its polymorph energy (0 for the lowest one) is 0.366 eV per atom.

Lattice parameters (Å, degrees): 7.0569 7.0569 7.0569 90.00 90.00 90.00
Space group F-43m (No. 216)
One atom of each set of equivalent atoms:
Pr  0.0000  0.0000  0.0000 [4 per cell]
Tl  0.2500  0.2500  0.2500 [4 per cell]
Tc  0.2500  0.2500  0.7500 [4 per cell]

Entry 2:
Here is a relaxed PrTmTc crystal from OQMD via LeMat-Bulk. Energies are from PBE-GGA.

The value obtained for the total energy is -5.64 eV/atom. Its formation energy is 0.8997 eV per atom.

Lattice parameters (Å, degrees): 6.8037 6.8037 6.8037 90.00 90.00 90.00
Space group F-43m (No. 216)
One atom of each set of equivalent atoms:
Pr  0.0000  0.0000  0.0000 [4 per cell]
Tm  0.2500  0.2500  0.2500 [4 per cell]
Tc  0.0000  0.0000  0.5000 [4 per cell]

Entry 3:
Here is a relaxed PrUTc crystal from OQMD via LeMat-Bulk. Energies are from PBE-GGA.

The value obtained for the total energy is -7.87 eV/atom. Its formation energy is 0.9444 eV per atom.

Lattice parameters (Å, degrees): 6.5816 6.5816 6.5816 90.00 90.00 90.00
Space group F-43m (No. 216)
One atom of each set of equivalent atoms:
Pr  0.0000  0.0000  0.0000 [4 per cell]
U  0.2500  0.2500  0.2500 [4 per cell]
Tc  0.0000  0.0000  0.5000 [4 per cell]

Entry 4:
Here is a relaxed PrTcW crystal from OQMD via LeMat-Bulk. Energies are from PBE-GGA.

The value obtained for the total energy is -8.43 eV/atom. Its formation energy is 0.9328 eV per atom.

Lattice parameters (Å, degrees): 6.4562 6.4562 6.4562 90.00 90.00 90.00
Space group F-43m (No. 216)
One atom of each set of equivalent atoms:
Pr  0.0000  0.0000  0.0000 [4 per cell]
Tc  0.0000  0.0000  0.5000 [4 per cell]
W  0.2500  0.2500  0.2500 [4 per cell]

Entry 5:
Here is a relaxed PrZnTc crystal from OQMD via LeMat-Bulk. Energies are from PBE-GGA.

The value obtained for the total energy is -4.96 eV/atom. Its formation energy is 0.5107 eV per atom. Its polymorph energy (0 for the lowest one) is 0.000 eV per atom.

Lattice parameters (Å, degrees): 6.4805 6.4805 6.4805 90.00 90.00 90.00
Space group F-43m (No. 216)
One atom of each set of equivalent atoms:
Pr  0.0000  0.0000  0.0000 [4 per cell]
Zn  0.2500  0.2500  0.2500 [4 per cell]
Tc  0.0000  0.0000  0.5000 [4 per cell]

Entry 6:
Here is a relaxed PrZnTc crystal from OQMD via LeMat-Bulk. Energies are from PBE-GGA.

The value obtained for the total energy is -4.34 eV/atom. Its formation energy is 1.1280 eV per atom. Its polymorph energy (0 for the lowest one) is 0.617 eV per atom.

Lattice parameters (Å, degrees): 6.6550 6.6550 6.6550 90.00 90.00 90.00
Space group F-43m (No. 216)
One atom of each set of equivalent atoms:
Pr  0.0000  0.0000  0.0000 [4 per cell]
Zn  0.2500  0.2500  0.2500 [4 per cell]
Tc  0.2500  0.2500  0.7500 [4 per cell]

Entry 7:
Here is a relaxed PrZrTc crystal from OQMD via LeMat-Bulk. Energies are from PBE-GGA.

The value obtained for the total energy is -7.19 eV/atom. Its formation energy is 0.7091 eV per atom.

Lattice parameters (Å, degrees): 6.6484 6.6484 6.6484 90.00 90.00 90.00
Space group F-43m (No. 216)
One atom of each set of equivalent atoms:
Pr  0.0000  0.0000  0.0000 [4 per cell]
Zr  0.2500  0.2500  0.2500 [4 per cell]
Tc  0.0000  0.0000  0.5000 [4 per cell]

Entry 8:
Here is a relaxed PrTe2 crystal from OQMD via LeMat-Bulk. Energies are from PBE-GGA.

The value obtained for the total energy is -4.18 eV/atom.

Lattice parameters (Å, degrees): 13.9242 13.9242 13.9242 90.00 90.00 90.00
Space group Fd-3m (No. 227, origin choice 2)
One atom of each set of equivalent atoms:
Pr  0.1250  0.1250  0.1250 [8 per cell]
Te  0.0000  0.0000  0.0000 [16 per cell]

Entry 9:
Here is a relaxed Pr5Te6 crystal from OQMD via LeMat-Bulk. Energies are from PBE-GGA.

The value obtained for the total energy is -5.37 eV/atom.

Lattice parameters (Å, degrees): 7.8083 13.4850 7.7865 90.00 109.55 90.00
Space group C2/m (No. 12)
One atom of each set of equivalent atoms:
Pr  0.0000  0.0000  0.0000 [2 per cell]
Pr  0.0000  0.1647  0.5000 [4 per cell]
Pr  0.0000  0.3315  0.0000 [4 per cell]
Te  0.2414  0.5000  0.2560 [4 per cell]
Te  0.2423  0.3382  0.7433 [8 per cell]

Entry 10:
Here is a relaxed PrTe2 crystal from OQMD via LeMat-Bulk. Energies are from PBE-GGA.

The value obtained for the total energy is -4.96 eV/atom.

Lattice parameters (Å, degrees): 9.2179 4.5239 9.0590 90.00 90.00 90.00
Space group P2_1/c (No. 14)
One atom of each set of equivalent atoms:
Pr  0.2279  0.2494  0.3749 [4 per cell]
Te  0.1305  0.7499  0.1250 [4 per cell]
Te  0.4995  0.7488  0.3750 [4 per cell]

Entry 11:
Here is a relaxed Pr8Te crystal from OQMD via LeMat-Bulk. Energies are from PBE-GGA.

The value obtained for the total energy is -4.87 eV/atom.

Lattice parameters (Å, degrees): 9.6416 9.6416 3.9204 90.00 90.00 120.00
Space group P-62m (No. 189)
One atom of each set of equivalent atoms:
Pr  0.0000  0.2681  0.0000 [3 per cell]
Pr  0.0000  0.6255  0.5000 [3 per cell]
Pr  0.3333  0.6667  0.0000 [2 per cell]
Te  0.0000  0.0000  0.5000 [1 per cell]

Entry 12:
Here is a relaxed PrTe2 crystal from OQMD via LeMat-Bulk. Energies are from PBE-GGA.

The value obtained for the total energy is -4.71 eV/atom.

Lattice parameters (Å, degrees): 7.6075 7.6075 7.6075 90.00 90.00 90.00
Space group Fm-3m (No. 225)
One atom of each set of equivalent atoms:
Pr  0.0000  0.0000  0.0000 [4 per cell]
Te  0.2500  0.2500  0.2500 [8 per cell]

Entry 13:
Here is a relaxed PrTe2 crystal from OQMD via LeMat-Bulk. Energies are from PBE-GGA.

The value obtained for the total energy is -3.86 eV/atom.

Lattice parameters (Å, degrees): 9.0926 9.0926 9.0926 90.00 90.00 90.00
Space group Fd-3m (No. 227, origin choice 2)
One atom of each set of equivalent atoms:
Pr  0.1250  0.1250  0.1250 [8 per cell]
Te  0.0000  0.0000  0.5000 [16 per cell]

Entry 14:
Here is a relaxed Pr4Te3 crystal from OQMD via LeMat-Bulk. Energies are from PBE-GGA.

The value obtained for the total energy is -5.32 eV/atom.

Lattice parameters (Å, degrees): 9.5072 9.5072 9.5072 90.00 90.00 90.00
Space group I-43d (No. 220)
One atom of each set of equivalent atoms:
Pr  0.0714  0.0714  0.0714 [16 per cell]
Te  0.0000  0.2500  0.3750 [12 per cell]

Entry 15:
Here is a relaxed PrTe2 crystal from OQMD via LeMat-Bulk. Energies are from PBE-GGA.

The value obtained for the total energy is -4.96 eV/atom.

Lattice parameters (Å, degrees): 9.2131 4.5243 9.0825 90.00 90.03 90.00
Space group Pc (No. 7)
One atom of each set of equivalent atoms:
Pr  0.0000  0.0077  0.0000 [2 per cell]
Pr  0.5438  0.4910  0.7497 [2 per cell]
Te  0.2719  0.0175  0.2500 [2 per cell]
Te  0.2719  0.4849  0.4997 [2 per cell]
Te  0.6417  0.0015  0.9999 [2 per cell]
Te  0.9021  0.4983  0.7499 [2 per cell]

Entry 16:
Here is a relaxed PrTlZnTe3 crystal from OQMD via LeMat-Bulk. Energies are from PBE-GGA.

The value obtained for the total energy is -3.79 eV/atom. Its polymorph energy (0 for the lowest one) is 0.022 eV per atom.

Lattice parameters (Å, degrees): 12.7010 4.5929 13.3628 90.00 90.00 90.00
Space group Pnma (No. 62)
One atom of each set of equivalent atoms:
Pr  0.0266  0.2500  0.1805 [4 per cell]
Tl  0.1809  0.2500  0.4953 [4 per cell]
Zn  0.2445  0.7500  0.2993 [4 per cell]
Te  0.0422  0.7500  0.3503 [4 per cell]
Te  0.1034  0.2500  0.9394 [4 per cell]
Te  0.2152  0.7500  0.6938 [4 per cell]

Entry 17:
Here is a relaxed PrTlZnTe3 crystal from OQMD via LeMat-Bulk. Energies are from PBE-GGA.

The value obtained for the total energy is -3.82 eV/atom. Its polymorph energy (0 for the lowest one) is 0.001 eV per atom.

Lattice parameters (Å, degrees): 4.4542 15.5650 12.0002 90.00 90.00 90.00
Space group Cmcm (No. 63)
One atom of each set of equivalent atoms:
Pr  0.0000  0.0000  0.0000 [4 per cell]
Tl  0.0000  0.2440  0.2500 [4 per cell]
Zn  0.0000  0.4650  0.7500 [4 per cell]
Te  0.0000  0.0730  0.7500 [4 per cell]
Te  0.0000  0.3630  0.5700 [8 per cell]

Entry 18:
Here is a relaxed PrTlZnTe3 crystal from OQMD via LeMat-Bulk. Energies are from PBE-GGA.

The value obtained for the total energy is -3.79 eV/atom. Its polymorph energy (0 for the lowest one) is 0.023 eV per atom.

Lattice parameters (Å, degrees): 8.9816 4.4688 11.2384 90.00 107.07 90.00
Space group P2_1/m (No. 11)
One atom of each set of equivalent atoms:
Pr  0.1948  0.2500  0.1401 [2 per cell]
Tl  0.2380  0.7500  0.7049 [2 per cell]
Zn  0.4226  0.7500  0.3905 [2 per cell]
Te  0.0540  0.2500  0.8467 [2 per cell]
Te  0.2772  0.2500  0.4477 [2 per cell]
Te  0.4554  0.7500  0.1626 [2 per cell]

Entry 19:
Here is a relaxed PrTlZnTe3 crystal from OQMD via LeMat-Bulk. Energies are from PBE-GGA.

The value obtained for the total energy is -3.67 eV/atom. Its polymorph energy (0 for the lowest one) is 0.146 eV per atom.

Lattice parameters (Å, degrees): 20.3937 4.5637 9.2239 90.00 102.90 90.00
Space group C2/m (No. 12)
One atom of each set of equivalent atoms:
Pr  0.1689  0.0000  0.0735 [4 per cell]
Tl  0.1264  0.0000  0.5671 [4 per cell]
Zn  0.0379  0.5000  0.2285 [4 per cell]
Te  0.0000  0.0000  0.0000 [2 per cell]
Te  0.0000  0.5000  0.5000 [2 per cell]
Te  0.1696  0.5000  0.3153 [4 per cell]
Te  0.1732  0.5000  0.8423 [4 per cell]

Entry 20:
Here is a relaxed PrTlZnTe3 crystal from OQMD via LeMat-Bulk. Energies are from PBE-GGA.

The value obtained for the total energy is -3.73 eV/atom. Its polymorph energy (0 for the lowest one) is 0.082 eV per atom.

Lattice parameters (Å, degrees): 9.1732 4.6699 18.0833 90.00 90.00 90.00
Space group Pnma (No. 62)
One atom of each set of equivalent atoms:
Pr  0.2434  0.2500  0.0476 [4 per cell]
Tl  0.0690  0.2500  0.7870 [4 per cell]
Zn  0.1318  0.2500  0.3579 [4 per cell]
Te  0.0030  0.7500  0.4109 [4 per cell]
Te  0.1251  0.7500  0.9431 [4 per cell]
Te  0.1995  0.2500  0.2168 [4 per cell]

Entry 21:
Here is a relaxed PrTlZnTe3 crystal from OQMD via LeMat-Bulk. Energies are from PBE-GGA.

The value obtained for the total energy is -3.82 eV/atom. Its polymorph energy (0 for the lowest one) is 0.000 eV per atom.

Lattice parameters (Å, degrees): 11.9759 4.4511 15.5294 90.00 90.00 90.00
Space group Pnma (No. 62)
One atom of each set of equivalent atoms:
Pr  0.0156  0.2500  0.2429 [4 per cell]
Tl  0.2206  0.7500  0.5064 [4 per cell]
Zn  0.2362  0.2500  0.7170 [4 per cell]
Te  0.0512  0.2500  0.6187 [4 per cell]
Te  0.0905  0.7500  0.1084 [4 per cell]
Te  0.2377  0.7500  0.8247 [4 per cell]

Entry 22:
Here is a relaxed PrTlZnTe3 crystal from OQMD via LeMat-Bulk. Energies are from PBE-GGA.

The value obtained for the total energy is -3.80 eV/atom. Its polymorph energy (0 for the lowest one) is 0.017 eV per atom.

Lattice parameters (Å, degrees): 15.8338 4.4641 12.0337 90.00 90.00 90.00
Space group Pnma (No. 62)
One atom of each set of equivalent atoms:
Pr  0.0269  0.2500  0.1600 [4 per cell]
Tl  0.2402  0.2500  0.4680 [4 per cell]
Zn  0.0173  0.7500  0.4004 [4 per cell]
Te  0.0850  0.7500  0.6109 [4 per cell]
Te  0.1048  0.2500  0.9183 [4 per cell]
Te  0.1489  0.7500  0.2609 [4 per cell]